Entry from the Alexandria database: a relaxed Li11Fe4O12 crystal (PBE+U).

Unit cell a=8.937 b=3.490 c=9.079 alpha=90.00 beta=90.52 gamma=90.00
Space group Pm (No. 6)
Symmetry-distinct sites (fractional):
Li: 0.000 0.000 0.000
Li: 0.005 0.500 0.234
Li: 0.212 0.000 0.325
Li: 0.247 0.500 0.030
Li: 0.413 0.000 0.528
Li: 0.429 0.000 0.956
Li: 0.498 0.500 0.758
Li: 0.694 0.500 0.478
Li: 0.738 0.000 0.733
Li: 0.777 0.000 0.297
Li: 0.924 0.500 0.814
Fe: 0.208 0.000 0.749
Fe: 0.474 0.500 0.250
Fe: 0.709 0.500 0.025
Fe: 0.983 0.000 0.524
O: 0.189 0.000 0.541
O: 0.208 0.000 0.950
O: 0.273 0.500 0.238
O: 0.414 0.000 0.742
O: 0.483 0.500 0.446
O: 0.493 0.500 0.037
O: 0.689 0.500 0.237
O: 0.706 0.500 0.822
O: 0.779 0.000 0.521
O: 0.916 0.500 0.033
O: 0.989 0.000 0.736
O: 0.992 0.000 0.323

E_tot: -147.13 eV for the cell shown
total moment: 13.0 Bohr magnetons per cell